First-principles (PBE) data for a relaxed structure of MgTlIn2Cl5, as listed in Alexandria via LeMat-Bulk.

The value obtained for the formation energy without anion corrections is -1179 meV per atom. Its space group is Immm (71). Its density of states at the Fermi level is 0.00 states/eV/cell.

Lattice parameters (Å, degrees): 4.900 7.330 8.796 114.62 106.17 90.00
Atoms (fractional coordinates):
In (0.204, 0.204, 0.408)
In (0.796, 0.796, 0.592)
Cl (0.382, 0.639, 0.763)
Cl (0.000, 0.000, 0.000)
Cl (0.382, 0.124, 0.763)
Cl (0.618, 0.361, 0.237)
Cl (0.618, 0.876, 0.237)
Tl (0.000, 0.500, 0.000)
Mg (0.500, 0.000, 0.000)